The following is a DFT calculation (PBE) of a relaxed Dy2ErAl crystal.

DFT total energy (eV/atom): -4.44
SG: Fm-3m (225)
Energy of formation (eV per atom): -0.060

abc: 5.3265 5.3265 5.3265
angles: 60.00 60.00 60.00
Sites, in units of the cell vectors:
1 Dy 0.7500 0.7500 0.7500
2 Dy 0.2500 0.2500 0.2500
3 Er 0.5000 0.5000 0.5000
4 Al 0.0000 0.0000 0.0000